VASP calculation (meta-GGA SCAN) on a crystal of HgPbAu4 relaxed with PBEsol.

## Properties
E_form (eV/atom): 0.038
DOS at the Fermi energy (states/eV/atom): 0.6013
VASP energy (eV for the cell shown): -420.3

a = 5.539 Å, b = 5.539 Å, c = 5.539 Å
α = 60.00°, β = 60.00°, γ = 60.00°
Fractional coordinates of all 6 atoms:
Pb 0.000 0.000 0.000
Au 0.375 0.375 0.375
Au 0.375 0.375 0.874
Au 0.874 0.375 0.375
Au 0.375 0.874 0.375
Hg 0.750 0.750 0.750

VASP calculation (meta-GGA SCAN) on a crystal of Ca2IrO4 relaxed with PBEsol.

## Properties
DOS at the Fermi energy (states/eV/atom): 0.2793
Formation energy (no corrections) (eV per atom): -2.253
VASP energy (eV for the cell shown): -393.4

a = 3.232 Å, b = 9.431 Å, c = 9.431 Å
α = 120.00°, β = 90.00°, γ = 90.00°
Fractional coordinates of all 21 atoms:
Ca 0.000 0.000 0.000
Ca 0.500 0.667 0.333
Ca 0.500 0.333 0.667
Ca 0.500 0.317 0.317
Ca 0.500 0.683 0.000
Ca 0.500 0.000 0.683
Ir 0.000 0.682 0.682
Ir 0.000 0.318 0.000
Ir 0.000 0.000 0.318
O 0.500 0.820 0.820
O 0.500 0.180 0.000
O 0.500 0.000 0.180
O 0.500 0.557 0.557
O 0.500 0.443 0.000
O 0.500 0.000 0.443
O 0.000 0.554 0.801
O 0.000 0.199 0.753
O 0.000 0.247 0.446
O 0.000 0.801 0.554
O 0.000 0.446 0.247
O 0.000 0.753 0.199

VASP calculation (meta-GGA SCAN) on a crystal of Rb3AgBr relaxed with PBEsol.

## Properties
DOS at the Fermi energy (states/eV/atom): 0.5965
Formation energy (no corrections) (eV per atom): -0.415
VASP energy (eV for the cell shown): -115.1

a = 6.536 Å, b = 6.536 Å, c = 6.536 Å
α = 90.00°, β = 90.00°, γ = 90.00°
Fractional coordinates of all 5 atoms:
Br 0.500 0.500 0.500
Rb 0.000 0.500 0.000
Rb 0.000 0.000 0.500
Rb 0.500 0.000 0.000
Ag 0.000 0.000 0.000

VASP calculation (meta-GGA SCAN) on a crystal of RbCrGePb2 relaxed with PBEsol.

## Properties
E_form (eV/atom): 1.637
DOS at the Fermi energy (states/eV/atom): 0.5566
VASP energy (eV for the cell shown): -201.6

a = 5.198 Å, b = 5.923 Å, c = 5.923 Å
α = 90.00°, β = 90.00°, γ = 90.00°
Fractional coordinates of all 5 atoms:
Pb 0.000 0.000 0.500
Pb 0.000 0.500 0.000
Cr 0.500 0.000 0.000
Ge 0.500 0.500 0.500
Rb 0.000 0.000 0.000

VASP calculation (meta-GGA SCAN) on a crystal of SrY2Cd relaxed with PBEsol.

## Properties
E_form (eV/atom): -0.152
DOS at the Fermi energy (states/eV/atom): 0.8148
VASP energy (eV for the cell shown): -109.0

a = 3.685 Å, b = 3.685 Å, c = 9.283 Å
α = 90.00°, β = 90.00°, γ = 90.00°
Fractional coordinates of all 4 atoms:
Y 0.000 0.000 0.034
Y 0.500 0.500 0.280
Sr 0.500 0.500 0.715
Cd 0.000 0.000 0.471

VASP calculation (meta-GGA SCAN) on a crystal of AlCu2Ni relaxed with PBEsol.

## Properties
E_form (eV/atom): -0.318
DOS at the Fermi energy (states/eV/atom): 0.4120
VASP energy (eV for the cell shown): -55.6

a = 3.498 Å, b = 3.498 Å, c = 4.509 Å
α = 112.82°, β = 112.82°, γ = 90.00°
Fractional coordinates of all 4 atoms:
Ni 0.000 0.000 0.000
Al 0.500 0.500 0.000
Cu 0.250 0.750 0.500
Cu 0.750 0.250 0.500

VASP calculation (meta-GGA SCAN) on a crystal of Ca2Mg3Cu2 relaxed with PBEsol.

## Properties
E_form (eV/atom): -0.067
DOS at the Fermi energy (states/eV/atom): 0.4885
VASP energy (eV for the cell shown): -65.1

a = 3.696 Å, b = 4.129 Å, c = 10.612 Å
α = 78.78°, β = 90.00°, γ = 90.00°
Fractional coordinates of all 7 atoms:
Ca 0.000 0.172 0.656
Ca 0.000 0.828 0.344
Cu 0.500 0.284 0.433
Cu 0.500 0.716 0.567
Mg 0.500 0.423 0.154
Mg 0.500 0.577 0.846
Mg 0.000 0.000 0.000

VASP calculation (meta-GGA SCAN) on a crystal of RbLi3Cu relaxed with PBEsol.

## Properties
E_form (eV/atom): 1.138
DOS at the Fermi energy (states/eV/atom): 0.2916
VASP energy (eV for the cell shown): -37.4
Distance to the lowest polymorph of the same formula (meV per atom): 924

a = 5.018 Å, b = 5.018 Å, c = 5.018 Å
α = 90.00°, β = 90.00°, γ = 90.00°
Fractional coordinates of all 5 atoms:
Cu 0.500 0.500 0.500
Rb 0.000 0.000 0.000
Li 0.000 0.500 0.000
Li 0.000 0.000 0.500
Li 0.500 0.000 0.000